Record 1
VASP calculation (GGA-PBE) on an optimized crystal structure of KMoI3.

The density of states at the Fermi level comes out at 0.65 states/eV/f.u. The uncorrected formation energy comes out at -0.357 eV/atom. The calculation puts the energy above the lowest structure with this stoichiometry at 0 meV per atom.

The space group is Pm-3m (No. 221) and the conventional cell measures 5.835, 5.835 and 5.835 Å, with angles of 90.00, 90.00 and 90.00 degrees. Symmetry generates all atoms from K at (0.000, 0.000, 0.000), Mo at (0.500, 0.500, 0.500) and I at (0.000, 0.500, 0.500).

***

Record 2
VASP calculation (GGA-PBE) on an optimized crystal structure of K2MoI.

The density of states at the Fermi level comes out at 3.09 states/eV/f.u. The uncorrected formation energy comes out at 0.712 eV/atom. The calculation puts the energy above the lowest structure with this stoichiometry at 104 meV per atom.

The space group is I-42d (No. 122) and the conventional cell measures 12.409, 12.409 and 5.765 Å, with angles of 90.00, 90.00 and 90.00 degrees. Symmetry generates all atoms from K at (0.111, 0.250, 0.125), Mo at (0.000, 0.000, 0.500) and I at (0.000, 0.000, 0.000).

***

Record 3
VASP calculation (GGA-PBE) on an optimized crystal structure of K2MoI.

The density of states at the Fermi level comes out at 0.03 states/eV/f.u. The uncorrected formation energy comes out at 0.608 eV/atom. The calculation puts the energy above the lowest structure with this stoichiometry at 0 meV per atom.

The space group is Fm-3m (No. 225) and the conventional cell measures 8.813, 8.813 and 8.813 Å, with angles of 90.00, 90.00 and 90.00 degrees. Symmetry generates all atoms from K at (0.250, 0.250, 0.250), Mo at (0.000, 0.000, 0.000) and I at (0.000, 0.000, 0.500).

***

Record 4
VASP calculation (GGA-PBE) on an optimized crystal structure of K2MoI2.

The density of states at the Fermi level comes out at 0.00 states/eV/f.u. The uncorrected formation energy comes out at 0.142 eV/atom. The calculation puts the energy above the lowest structure with this stoichiometry at 86 meV per atom.

The space group is I4/mmm (No. 139) and the conventional cell measures 6.704, 6.704 and 12.357 Å, with angles of 90.00, 90.00 and 90.00 degrees. Symmetry generates all atoms from K at (0.000, 0.000, 0.190), Mo at (0.000, 0.000, 0.500) and I at (0.000, 0.500, 0.250).

***

Record 5
VASP calculation (GGA-PBE) on an optimized crystal structure of KMo3I.

The density of states at the Fermi level comes out at 4.71 states/eV/f.u. The uncorrected formation energy comes out at 2.152 eV/atom. The calculation puts the energy above the lowest structure with this stoichiometry at 0 meV per atom.

The space group is Pm-3m (No. 221) and the conventional cell measures 5.025, 5.025 and 5.025 Å, with angles of 90.00, 90.00 and 90.00 degrees. Symmetry generates all atoms from K at (0.000, 0.000, 0.000), Mo at (0.000, 0.500, 0.500) and I at (0.500, 0.500, 0.500).

***

Record 6
VASP calculation (GGA-PBE) on an optimized crystal structure of KMoI3.

The density of states at the Fermi level comes out at 12.30 states/eV/f.u. The uncorrected formation energy comes out at 0.716 eV/atom. The calculation puts the energy above the lowest structure with this stoichiometry at 1073 meV per atom.

The space group is Pm-3m (No. 221) and the conventional cell measures 6.376, 6.376 and 6.376 Å, with angles of 90.00, 90.00 and 90.00 degrees. Symmetry generates all atoms from K at (0.000, 0.000, 0.000), Mo at (0.500, 0.500, 0.500) and I at (0.000, 0.000, 0.500).